# Sr2HPtSe

A relaxed structure of Sr2HPtSe (PBE-GGA, Alexandria).

Cell lengths 5.3472, 5.3472, 3.7960 Å; angles 90.00, 90.00, 90.00 degrees
Space group P4/mmm (No. 123)
Symmetry-distinct sites (fractional):
Sr  0.0000  0.5000  0.0000 [2 per cell]
H  0.0000  0.0000  0.0000 [1 per cell]
Pt  0.0000  0.0000  0.5000 [1 per cell]
Se  0.5000  0.5000  0.5000 [1 per cell]

raw total energy	-4.321	eV per atom
crystal system	tetragonal